Record 1
## MgAlCd (GGA-PBEsol)

Data for a geometry-optimized MgAlCd structure.

abc: 6.7521 6.7521 6.7521
angles: 154.05 154.05 37.03
Element x y z (fractional)
1 Mg 0.0000 0.0000 0.0000
2 Al 0.6637 0.6637 0.0000
3 Cd 0.3274 0.3274 0.0000

Output
The calculation puts the size of the total moment at 0.00 μB/cell. As for the volume: 58.9 Å³ per cell. As for the energy of formation from the pure elements: 10 meV/atom.



Record 2
## ZrSeO (GGA-PBEsol)

Data for a geometry-optimized ZrSeO structure.

abc: 3.6493 3.6493 6.5903
angles: 90.00 90.00 90.00
Element x y z (fractional)
1 Zr 0.2500 0.2500 0.1853
2 Zr 0.7500 0.7500 0.8147
3 Se 0.2500 0.2500 0.6274
4 Se 0.7500 0.7500 0.3726
5 O 0.2500 0.7500 0.0000
6 O 0.7500 0.2500 0.0000

Output
Its total energy is -51.0 eV/cell. The calculation puts the size of the total moment at 0.00 μB/cell. As for the volume: 87.8 Å³ per cell.



Record 3
## LiAg (GGA-PBEsol)

Data for a geometry-optimized LiAg structure.

abc: 3.2730 3.2730 5.9456
angles: 90.00 90.00 90.00
Element x y z (fractional)
1 Li 0.2500 0.2500 0.1363
2 Li 0.7500 0.7500 0.8637
3 Ag 0.2500 0.2500 0.6357
4 Ag 0.7500 0.7500 0.3643

Output
The calculation puts the size of the total moment at 0.00 μB/cell. As for the volume: 63.7 Å³ per cell. As for the energy of formation from the pure elements: -117 meV/atom.



Record 4
## In2PtPb (GGA-PBEsol)

Data for a geometry-optimized In2PtPb structure.

abc: 3.2809 3.2809 8.2954
angles: 90.00 90.00 90.00
Element x y z (fractional)
1 In 0.0000 0.0000 0.1955
2 In 0.0000 0.0000 0.8045
3 Pt 0.5000 0.5000 0.0000
4 Pb 0.5000 0.5000 0.5000

Output
The calculation puts the size of the total moment at 0.00 μB/cell. As for the volume: 89.3 Å³ per cell. As for the energy of formation from the pure elements: -161 meV/atom.



Record 5
## NiRh3 (GGA-PBEsol)

Data for a geometry-optimized NiRh3 structure.

abc: 8.6008 8.6008 8.6008
angles: 17.70 17.70 17.70
Element x y z (fractional)
1 Ni 0.0000 0.0000 0.0000
2 Rh 0.2528 0.2528 0.2528
3 Rh 0.5000 0.5000 0.5000
4 Rh 0.7472 0.7472 0.7472

Output
The calculation puts the size of the total moment at 0.72 μB/cell. As for the volume: 51.3 Å³ per cell. As for the energy of formation from the pure elements: 43 meV/atom.



Record 6
## InGe3Os (GGA-PBEsol)

Data for a geometry-optimized InGe3Os structure.

abc: 4.7890 4.7890 4.7890
angles: 90.00 90.00 90.00
Element x y z (fractional)
1 In 0.0000 0.0000 0.0000
2 Ge 0.0000 0.5000 0.5000
3 Ge 0.5000 0.0000 0.5000
4 Ge 0.5000 0.5000 0.0000
5 Os 0.5000 0.5000 0.5000

Output
The calculation puts the size of the total moment at 0.00 μB/cell. As for the volume: 109.8 Å³ per cell. As for the energy of formation from the pure elements: 369 meV/atom.



Record 7
## CrOs3 (GGA-PBEsol)

Data for a geometry-optimized CrOs3 structure.

abc: 5.0358 5.0358 5.0358
angles: 148.91 64.62 124.91
Element x y z (fractional)
1 Cr 0.0000 0.0000 0.0000
2 Os 0.0791 0.3312 0.7479
3 Os 0.4952 0.9952 0.5000
4 Os 0.5834 0.3312 0.2521

Output
The calculation puts the size of the total moment at 0.00 μB/cell. As for the volume: 53.5 Å³ per cell. As for the energy of formation from the pure elements: -6 meV/atom.



Record 8
## ZrGaPt (GGA-PBEsol)

Data for a geometry-optimized ZrGaPt structure.

abc: 7.1138 7.1138 7.0381
angles: 90.00 90.00 120.00
Element x y z (fractional)
1 Zr 0.0225 0.6138 0.2500
2 Zr 0.3862 0.4087 0.2500
3 Zr 0.4087 0.3862 0.7500
4 Zr 0.5913 0.9775 0.2500
5 Zr 0.6138 0.0225 0.7500
6 Zr 0.9775 0.5913 0.7500
7 Ga 0.0000 0.2676 0.0000
8 Ga 0.0000 0.2676 0.5000
9 Ga 0.2676 0.0000 0.0000
10 Ga 0.2676 0.0000 0.5000
11 Ga 0.7324 0.7324 0.0000
12 Ga 0.7324 0.7324 0.5000
13 Pt 0.0000 0.0000 0.2500
14 Pt 0.0000 0.0000 0.7500
15 Pt 0.3333 0.6667 0.5316
16 Pt 0.3333 0.6667 0.9684
17 Pt 0.6667 0.3333 0.0316
18 Pt 0.6667 0.3333 0.4684

Output
The calculation puts the size of the total moment at 0.00 μB/cell. As for the volume: 308.5 Å³ per cell. As for the energy of formation from the pure elements: -1021 meV/atom.



Record 9
## LiCu (GGA-PBEsol)

Data for a geometry-optimized LiCu structure.

abc: 8.9614 8.9614 8.9614
angles: 16.52 16.52 16.52
Element x y z (fractional)
1 Li 0.1185 0.1185 0.1185
2 Li 0.8815 0.8815 0.8815
3 Cu 0.3722 0.3722 0.3722
4 Cu 0.6278 0.6278 0.6278

Output
The calculation puts the size of the total moment at 0.00 μB/cell. As for the volume: 50.8 Å³ per cell. As for the energy of formation from the pure elements: 45 meV/atom.



Record 10
## Ba4Li (GGA-PBEsol)

Data for a geometry-optimized Ba4Li structure.

abc: 7.0479 7.0479 7.0479
angles: 109.47 109.47 109.47
Element x y z (fractional)
1 Ba 0.0000 0.0000 0.5000
2 Ba 0.0000 0.5000 0.0000
3 Ba 0.5000 0.0000 0.0000
4 Ba 0.5000 0.5000 0.5000
5 Li 0.0000 0.0000 0.0000

Output
The calculation puts the size of the total moment at 0.00 μB/cell. As for the volume: 269.5 Å³ per cell. As for the energy of formation from the pure elements: 257 meV/atom.



Record 11
## ZrTe2Se (GGA-PBEsol)

Data for a geometry-optimized ZrTe2Se structure.

abc: 10.1118 10.1118 10.1118
angles: 19.72 19.72 19.72
Element x y z (fractional)
1 Zr 0.0000 0.0000 0.0000
2 Te 0.0944 0.0944 0.0944
3 Te 0.9056 0.9056 0.9056
4 Se 0.5000 0.5000 0.5000

Output
Its total energy is -18.6 eV/cell. The calculation puts the size of the total moment at 0.00 μB/cell. As for the volume: 102.9 Å³ per cell.



Record 12
## Ca2Mg2Zn (GGA-PBEsol)

Data for a geometry-optimized Ca2Mg2Zn structure.

abc: 5.3741 3.6570 13.5128
angles: 90.00 99.89 90.00
Element x y z (fractional)
1 Ca 0.0953 0.2500 0.1277
2 Ca 0.3237 0.7500 0.6913
3 Ca 0.6763 0.2500 0.3087
4 Ca 0.9047 0.7500 0.8723
5 Mg 0.2418 0.2500 0.4732
6 Mg 0.4217 0.2500 0.9109
7 Mg 0.5783 0.7500 0.0891
8 Mg 0.7582 0.7500 0.5268
9 Zn 0.1837 0.7500 0.3123
10 Zn 0.8163 0.2500 0.6877

Output
The calculation puts the size of the total moment at 0.00 μB/cell. As for the volume: 261.6 Å³ per cell. As for the energy of formation from the pure elements: -94 meV/atom.



Record 13
## MgGeP2 (GGA-PBEsol)

Data for a geometry-optimized MgGeP2 structure.

abc: 3.8380 3.8380 5.9296
angles: 90.00 90.00 90.00
Element x y z (fractional)
1 Mg 0.0000 0.0000 0.0000
2 Ge 0.5000 0.5000 0.5000
3 P 0.0000 0.5000 0.2693
4 P 0.5000 0.0000 0.7307

Output
The calculation puts the size of the total moment at 0.00 μB/cell. As for the volume: 87.3 Å³ per cell. As for the energy of formation from the pure elements: -209 meV/atom.



Record 14
## KInCo (GGA-PBEsol)

Data for a geometry-optimized KInCo structure.

abc: 5.0615 5.0615 5.0615
angles: 60.00 60.00 60.00
Element x y z (fractional)
1 K 0.0000 0.0000 0.0000
2 In 0.2500 0.2500 0.2500
3 Co 0.7500 0.7500 0.7500

Output
The calculation puts the size of the total moment at 1.60 μB/cell. As for the volume: 91.7 Å³ per cell. As for the energy of formation from the pure elements: 1510 meV/atom.



Record 15
## PtAu3C (GGA-PBEsol)

Data for a geometry-optimized PtAu3C structure.

abc: 4.2187 4.2187 4.2187
angles: 90.00 90.00 90.00
Element x y z (fractional)
1 Pt 0.0000 0.0000 0.0000
2 Au 0.0000 0.5000 0.5000
3 Au 0.5000 0.0000 0.5000
4 Au 0.5000 0.5000 0.0000
5 C 0.5000 0.5000 0.5000

Output
The calculation puts the size of the total moment at 0.00 μB/cell. As for the volume: 75.1 Å³ per cell. As for the energy of formation from the pure elements: 736 meV/atom.



Record 16
## ScPbAu4 (GGA-PBEsol)

Data for a geometry-optimized ScPbAu4 structure.

abc: 5.5068 5.5068 5.5068
angles: 60.00 60.00 60.00
Element x y z (fractional)
1 Sc 0.0000 0.0000 0.0000
2 Pb 0.7500 0.7500 0.7500
3 Au 0.3746 0.3746 0.3746
4 Au 0.3746 0.3746 0.8763
5 Au 0.3746 0.8763 0.3746
6 Au 0.8763 0.3746 0.3746

Output
The calculation puts the size of the total moment at 0.00 μB/cell. As for the volume: 118.1 Å³ per cell. As for the energy of formation from the pure elements: -262 meV/atom.



Record 17
## MoRh2 (GGA-PBEsol)

Data for a geometry-optimized MoRh2 structure.

abc: 6.0284 6.0284 3.8298
angles: 90.00 90.00 142.98
Element x y z (fractional)
1 Mo 0.0876 0.9124 0.7500
2 Mo 0.9124 0.0876 0.2500
3 Rh 0.2509 0.7491 0.2500
4 Rh 0.4196 0.5804 0.7500
5 Rh 0.5804 0.4196 0.2500
6 Rh 0.7491 0.2509 0.7500

Output
The calculation puts the size of the total moment at 0.00 μB/cell. As for the volume: 83.8 Å³ per cell. As for the energy of formation from the pure elements: -190 meV/atom.



Record 18
## Ti2Cr3Si (GGA-PBEsol)

Data for a geometry-optimized Ti2Cr3Si structure.

abc: 4.7288 4.7288 8.0016
angles: 90.00 90.00 120.00
Element x y z (fractional)
1 Ti 0.3333 0.6667 0.0630
2 Ti 0.3333 0.6667 0.4370
3 Ti 0.6667 0.3333 0.5630
4 Ti 0.6667 0.3333 0.9370
5 Cr 0.1726 0.3452 0.7500
6 Cr 0.1726 0.8274 0.7500
7 Cr 0.3452 0.1726 0.2500
8 Cr 0.6548 0.8274 0.7500
9 Cr 0.8274 0.1726 0.2500
10 Cr 0.8274 0.6548 0.2500
11 Si 0.0000 0.0000 0.0000
12 Si 0.0000 0.0000 0.5000

Output
Its total energy is -110.7 eV/cell. The calculation puts the size of the total moment at 0.00 μB/cell. As for the volume: 155.0 Å³ per cell.



Record 19
## Ta2BeIr (GGA-PBEsol)

Data for a geometry-optimized Ta2BeIr structure.

abc: 4.7611 4.7611 4.7611
angles: 131.57 131.57 70.90
Element x y z (fractional)
1 Ta 0.2500 0.7500 0.5000
2 Ta 0.7500 0.2500 0.5000
3 Be 0.0000 0.0000 0.0000
4 Ir 0.5000 0.5000 0.0000

Output
The calculation puts the size of the total moment at 0.00 μB/cell. As for the volume: 59.2 Å³ per cell. As for the energy of formation from the pure elements: -163 meV/atom.



Record 20
## Mg2MnP (GGA-PBEsol)

Data for a geometry-optimized Mg2MnP structure.

abc: 8.8705 8.8705 8.8705
angles: 19.32 19.32 19.32
Element x y z (fractional)
1 Mg 0.2476 0.2476 0.2476
2 Mg 0.7524 0.7524 0.7524
3 Mn 0.0000 0.0000 0.0000
4 P 0.5000 0.5000 0.5000

Output
The calculation puts the size of the total moment at 3.25 μB/cell. As for the volume: 66.8 Å³ per cell. As for the energy of formation from the pure elements: 261 meV/atom.